Entry 1:
SrLiTmCl6: relaxed, PBE.

- Formation energy from raw total energies: -20.2 eV/f.u.
- Fermi-level density of states: 0.000 states/eV/atom
- SG: No. 163
- E_tot: -4.37 eV/atom

Cell lengths 6.710, 6.710, 12.717 Å; angles 90.00, 90.00, 120.00 degrees
Fractional positions:
Sr  0.000  0.000  0.000
Sr  0.000  0.000  0.500
Li  0.333  0.667  0.250
Li  0.667  0.333  0.750
Tm  0.333  0.667  0.750
Tm  0.667  0.333  0.250
Cl  0.000  0.356  0.635
Cl  0.000  0.357  0.135
Cl  0.000  0.643  0.865
Cl  0.000  0.644  0.365
Cl  0.356  0.000  0.135
Cl  0.356  0.357  0.365
Cl  0.357  0.000  0.635
Cl  0.357  0.356  0.865
Cl  0.643  0.000  0.365
Cl  0.643  0.644  0.135
Cl  0.644  0.000  0.865
Cl  0.644  0.643  0.635

Entry 2:
YHg2C: relaxed, PBE.

- Fermi-level density of states: 0.594 states/eV/atom
- SG: No. 122
- Calculated formation energy: 0.498 eV per atom
- E_tot: -3.57 eV/atom

Cell lengths 6.310, 6.310, 6.310 Å; angles 98.94, 98.94, 133.58 degrees
Fractional positions:
Y  0.000  0.000  0.000
Y  0.750  0.250  0.500
Hg  0.210  0.625  0.085
Hg  0.375  0.460  0.585
Hg  0.540  0.125  0.915
Hg  0.875  0.790  0.415
C  0.250  0.750  0.500
C  0.500  0.500  0.000

Entry 3:
AcPmCdSn: relaxed, PBE.

- Fermi-level density of states: 0.847 states/eV/atom
- SG: No. 216
- Calculated formation energy: -0.478 eV per atom
- E_tot: -3.92 eV/atom

Cell lengths 5.602, 5.602, 5.602 Å; angles 60.00, 60.00, 60.00 degrees
Fractional positions:
Ac  0.000  0.000  0.000
Pm  0.500  0.500  0.500
Cd  0.750  0.750  0.750
Sn  0.250  0.250  0.250

Question: E_tot of number 2 (YHg2C)?
Answer: -3.57 eV/atom

Question: E_tot of number 2 (YHg2C)?
Answer: -3.57 eV/atom

Question: What is the E_tot in the third record?
Answer: -3.92 eV/atom

Question: Which of these has the highest Fermi-level density of states?
Answer: AcPmCdSn